## P
DFT (PBE) results for crystalline TiMnW2 at its relaxed geometry.

Symmetry: I-42d (122)
Size of the total moment (μB per cell): 0.00

Structure (extended XYZ):
```
8
Lattice="-4.0484 -5.7396 -0.3404 4.8430 -3.1796 -3.9855 1.5408 -5.3928 -0.0289" Properties=species:S:1:pos:R:3 pbc="T T T"
Mn 0.0000 0.0000 0.0000
Mn -1.0552 -7.7960 -1.2661
W -1.6875 -5.5424 -0.7306
W 3.0538 -3.8434 -2.5283
W 1.2767 -7.2732 -1.4983
W 2.0276 -11.9650 -3.9523
Ti 0.3973 -4.4596 -2.1629
Ti 3.3905 -6.5160 -3.0886
```

***

## Q
DFT (PBE) results for crystalline TiMnW2 at its relaxed geometry.

Symmetry: P4/mmm (123)
Size of the total moment (μB per cell): 0.00

Structure (extended XYZ):
```
4
Lattice="-2.3688 1.2420 1.4918 -1.6925 -2.4740 -0.6278 1.9472 -2.6836 5.3260" Properties=species:S:1:pos:R:3 pbc="T T T"
Mn -2.0307 -0.6160 0.4320
W 1.4870 -2.0493 4.0672
W 0.4603 -0.6343 1.2589
Ti -1.0570 -1.9578 3.0951
```

***

Most stable structure - Q; separation to the second - 608 meV per atom.

***

## P
DFT (PBE) results for crystalline YTi2Mn2 at its relaxed geometry.

Symmetry: I4/mmm (139)
Size of the total moment (μB per cell): 1.41

Structure (extended XYZ):
```
5
Lattice="-1.8598 0.1027 -3.5620 -3.5513 -0.3852 1.8431 -3.1033 5.2651 -0.4959" Properties=species:S:1:pos:R:3 pbc="T T T"
Y 0.0000 0.0000 0.0000
Mn -2.7875 0.9730 -0.7845
Mn -5.7269 4.0096 -1.4303
Ti -3.8344 2.6133 -2.4587
Ti -4.6801 2.3693 0.2439
```

***

## Q
DFT (PBE) results for crystalline YTi2Mn2 at its relaxed geometry.

Symmetry: P4/mbm (127)
Size of the total moment (μB per cell): 4.75

Structure (extended XYZ):
```
10
Lattice="-5.0102 4.9046 -2.7123 -5.5719 -4.7513 1.7009 -0.2498 1.2991 2.8105" Properties=species:S:1:pos:R:3 pbc="T T T"
Y 0.0000 0.0000 0.0000
Y -5.2911 0.0767 -0.5057
Mn -6.6513 -2.3196 0.4810
Mn -7.8719 1.2281 -1.2673
Mn -3.9308 2.4730 -1.4924
Mn -2.7103 -1.0747 0.2559
Ti -4.3994 -1.7045 2.1134
Ti -8.1229 -0.2912 1.1292
Ti -6.4325 3.1570 -0.3143
Ti -2.7090 1.7436 0.6699
```

***

Most stable structure - P; separation to the second - 13 meV per atom.

***

## P
DFT (PBE) results for crystalline YTiMn2 at its relaxed geometry.

Symmetry: I4_1/amd (141)
Size of the total moment (μB per cell): 3.42

Structure (extended XYZ):
```
8
Lattice="-1.9302 -0.8587 -3.9431 2.6378 -3.5763 -0.5124 -5.2215 -6.8657 1.5137" Properties=species:S:1:pos:R:3 pbc="T T T"
Y 0.0000 0.0000 0.0000
Y -3.3989 -4.9710 -2.3286
Mn -1.6993 -2.4854 -1.1639
Mn -0.3807 -4.2737 -1.4208
Mn -2.9910 -7.7069 -0.6637
Mn -3.9566 -8.1356 -2.6351
Ti 0.3538 -2.2175 -2.2277
Ti -1.1149 -6.3298 -0.6132
```

***

## Q
DFT (PBE) results for crystalline YTiMn2 at its relaxed geometry.

Symmetry: Fm-3m (225)
Size of the total moment (μB per cell): 3.36

Structure (extended XYZ):
```
4
Lattice="0.0698 1.9586 4.1875 -2.3968 -1.8863 3.4746 2.2229 -2.0720 3.4845" Properties=species:S:1:pos:R:3 pbc="T T T"
Y -0.0521 -0.9999 5.5733
Mn -0.0260 -0.4999 2.7866
Mn -0.0781 -1.4998 8.3599
Ti 0.0000 0.0000 0.0000
```

***

Most stable structure - Q; separation to the second - 420 meV per atom.

***

## P
DFT (PBE) results for crystalline TiMn3Zn at its relaxed geometry.

Symmetry: Pm-3m (221)
Size of the total moment (μB per cell): 8.73

Structure (extended XYZ):
```
5
Lattice="-4.0516 -0.2315 1.9979 -1.2268 -3.2763 -2.8674 1.5938 -3.1102 2.8718" Properties=species:S:1:pos:R:3 pbc="T T T"
Zn 0.0000 0.0000 0.0000
Mn -0.6134 -1.6381 -1.4337
Mn 0.7969 -1.5551 1.4359
Mn -2.0258 -0.1157 0.9990
Ti -1.8423 -3.3089 1.0012
```

***

## Q
DFT (PBE) results for crystalline TiMn3Zn at its relaxed geometry.

Symmetry: Pm-3m (221)
Size of the total moment (μB per cell): 8.03

Structure (extended XYZ):
```
5
Lattice="4.4747 0.0000 0.0000 0.0000 4.4747 0.0000 0.0000 0.0000 4.4747" Properties=species:S:1:pos:R:3 pbc="T T T"
Zn 2.2374 2.2374 2.2374
Mn 0.0000 2.2374 0.0000
Mn 0.0000 0.0000 2.2374
Mn 2.2374 0.0000 0.0000
Ti 0.0000 0.0000 0.0000
```

***

Most stable structure - P; separation to the second - 104 meV per atom.

***

## P
DFT (PBE) results for crystalline ZrTi3Mn at its relaxed geometry.

Symmetry: Pm-3m (221)
Size of the total moment (μB per cell): 0.05

Structure (extended XYZ):
```
5
Lattice="4.6847 0.0000 0.0000 0.0000 4.6847 0.0000 0.0000 0.0000 4.6847" Properties=species:S:1:pos:R:3 pbc="T T T"
Mn 2.3423 2.3423 2.3423
Zr 0.0000 0.0000 0.0000
Ti 0.0000 2.3423 0.0000
Ti 0.0000 0.0000 2.3423
Ti 2.3423 0.0000 0.0000
```

***

## Q
DFT (PBE) results for crystalline ZrTi3Mn at its relaxed geometry.

Symmetry: Pm-3m (221)
Size of the total moment (μB per cell): 0.00

Structure (extended XYZ):
```
5
Lattice="4.5275 0.0000 0.0000 0.0000 4.5275 0.0000 0.0000 0.0000 4.5275" Properties=species:S:1:pos:R:3 pbc="T T T"
Mn 0.0000 0.0000 0.0000
Zr 2.2637 2.2637 2.2637
Ti 0.0000 2.2637 0.0000
Ti 0.0000 0.0000 2.2637
Ti 2.2637 0.0000 0.0000
```

***

Most stable structure - Q; separation to the second - 1413 meV per atom.

***

## P
DFT (PBE) results for crystalline Mn4Tl at its relaxed geometry.

Symmetry: Pm-3m (221)
Size of the total moment (μB per cell): 16.89

Structure (extended XYZ):
```
5
Lattice="-1.1628 -2.7851 4.0570 -1.9618 -3.5608 -3.0067 4.5130 -2.2655 -0.2617" Properties=species:S:1:pos:R:3 pbc="T T T"
Tl 0.6942 -4.3057 0.3943
Mn 0.0000 0.0000 0.0000
Mn 1.6751 -2.5253 1.8977
Mn 1.2756 -2.9131 -1.6342
Mn -1.5623 -3.1729 0.5251
```

***

## Q
DFT (PBE) results for crystalline Mn4Tl at its relaxed geometry.

Symmetry: Im-3m (229)
Size of the total moment (μB per cell): 17.05

Structure (extended XYZ):
```
5
Lattice="-0.4285 2.4456 4.7478 -0.9601 3.5259 -3.9182 -3.5604 -3.9939 -0.2794" Properties=species:S:1:pos:R:3 pbc="T T T"
Mn -0.2142 1.2228 2.3739
Mn -2.4745 0.9888 0.2751
Mn -0.4801 1.7629 -1.9591
Mn -1.7802 -1.9970 -0.1397
Tl 0.0000 0.0000 0.0000
```

***

Most stable structure - Q; separation to the second - 267 meV per atom.

***

## P
DFT (PBE) results for crystalline MnTl2V at its relaxed geometry.

Symmetry: I-42d (122)
Size of the total moment (μB per cell): 2.01

Structure (extended XYZ):
```
8
Lattice="-6.2816 -1.9587 -3.9607 -0.3312 -6.6561 3.8168 -5.0296 -3.0197 2.0242" Properties=species:S:1:pos:R:3 pbc="T T T"
Tl -5.2614 -2.8225 -1.5154
Tl -2.2130 -5.1484 2.4196
Tl -6.2500 -5.4566 1.4420
Tl -9.5603 -9.8415 1.4145
Mn 0.0000 0.0000 0.0000
Mn -7.3088 -4.6429 -1.0042
V -3.3064 -4.3074 -0.0719
V -4.3336 -6.9916 2.8846
```

***

## Q
DFT (PBE) results for crystalline MnTl2V at its relaxed geometry.

Symmetry: Fm-3m (225)
Size of the total moment (μB per cell): 6.54

Structure (extended XYZ):
```
4
Lattice="4.2712 -1.7423 1.4687 2.5674 2.3843 3.3406 0.4640 -1.8305 4.4576" Properties=species:S:1:pos:R:3 pbc="T T T"
Tl 1.8257 -0.2971 2.3167
Tl 5.4770 -0.8914 6.9501
Mn 3.6513 -0.5943 4.6334
V 0.0000 0.0000 0.0000
```

***

Most stable structure - Q; separation to the second - 137 meV per atom.

***

## P
DFT (PBE) results for crystalline MnTl2W at its relaxed geometry.

Symmetry: I-4m2 (119)
Size of the total moment (μB per cell): 3.46

Structure (extended XYZ):
```
4
Lattice="-2.9663 4.5472 0.7180 -3.9146 0.9235 -3.7168 1.5494 -4.2250 3.1210" Properties=species:S:1:pos:R:3 pbc="T T T"
Mn -2.4287 1.5288 1.1698
Tl 0.0000 0.0000 0.0000
Tl -2.9028 -0.2831 -1.0476
W -3.4405 2.7353 -1.4994
```

***

## Q
DFT (PBE) results for crystalline MnTl2W at its relaxed geometry.

Symmetry: P4/mmm (123)
Size of the total moment (μB per cell): 3.04

Structure (extended XYZ):
```
4
Lattice="-2.5283 2.6235 2.2928 1.1784 -2.0220 3.6131 3.1693 2.6578 0.4537" Properties=species:S:1:pos:R:3 pbc="T T T"
Mn 2.1739 0.3179 2.0334
Tl 0.0000 0.0000 0.0000
Tl -0.6749 0.3007 2.9529
W 0.3205 2.6406 1.3732
```

***

## R
DFT (PBE) results for crystalline MnTl2W at its relaxed geometry.

Symmetry: C2/m (12)
Size of the total moment (μB per cell): 3.64

Structure (extended XYZ):
```
4
Lattice="-1.8707 4.4924 1.4227 -3.5050 3.5419 -0.9354 -3.9650 -1.6163 3.3994" Properties=species:S:1:pos:R:3 pbc="T T T"
Mn -7.0055 4.8134 2.9151
Tl -0.0101 0.0110 0.0026
Tl -4.6602 3.1980 1.9408
W -2.3352 1.6045 0.9717
```

***

## S
DFT (PBE) results for crystalline MnTl2W at its relaxed geometry.

Symmetry: Fm-3m (225)
Size of the total moment (μB per cell): 0.00

Structure (extended XYZ):
```
4
Lattice="-1.8949 -2.6256 3.3776 -3.1171 -3.3162 -1.0858 1.1607 -4.5167 0.3810" Properties=species:S:1:pos:R:3 pbc="T T T"
Tl -0.9628 -2.6146 0.6682
Tl -2.8885 -7.8439 2.0047
Mn 0.0000 0.0000 0.0000
W -1.9257 -5.2293 1.3364
```

***

Most stable structure - R; separation to the second - 59 meV per atom.

***

## P
DFT (PBE) results for crystalline MnTl2W at its relaxed geometry.

Symmetry: F-43m (216)
Size of the total moment (μB per cell): 1.18

Structure (extended XYZ):
```
4
Lattice="4.8582 0.0000 0.0000 2.4291 4.2073 0.0000 2.4291 1.4024 3.9667" Properties=species:S:1:pos:R:3 pbc="T T T"
Mn 4.8582 2.8049 1.9834
Tl 0.0000 0.0000 0.0000
Tl 2.4291 1.4024 0.9917
W 7.2873 4.2073 2.9750
```

***

## Q
DFT (PBE) results for crystalline MnTl2W at its relaxed geometry.

Symmetry: R-3m (166)
Size of the total moment (μB per cell): 3.66

Structure (extended XYZ):
```
4
Lattice="-2.9422 -5.3153 7.5514 0.0139 -6.1776 7.4678 -0.7994 -3.6081 8.9596" Properties=species:S:1:pos:R:3 pbc="T T T"
Mn -2.7958 -11.3257 17.9841
Tl -0.0072 -0.0292 0.0463
Tl -1.8567 -7.5213 11.9431
W -0.9319 -3.7752 5.9947
```

***

Most stable structure - Q; separation to the second - 281 meV per atom.

***

## P
DFT (PBE) results for crystalline MnTl2W at its relaxed geometry.

Symmetry: I-42d (122)
Size of the total moment (μB per cell): 6.29

Structure (extended XYZ):
```
8
Lattice="-5.7471 1.3960 4.6926 -2.2056 -7.1987 -0.5597 -2.2720 -3.6021 4.3623" Properties=species:S:1:pos:R:3 pbc="T T T"
Tl -4.3726 -0.9431 3.9020
Tl -2.7280 -5.2098 1.3788
Tl -4.7105 -4.9565 4.8154
Tl -8.6385 -7.6998 6.8941
Mn -3.9764 -2.9013 2.0664
Mn -4.2270 -6.8510 2.9345
W 0.0000 0.0000 0.0000
W -5.9978 -2.5537 5.5607
```

***

## Q
DFT (PBE) results for crystalline MnTl2W at its relaxed geometry.

Symmetry: Cmmm (65)
Size of the total moment (μB per cell): 3.55

Structure (extended XYZ):
```
4
Lattice="-3.0300 0.2408 0.0416 1.3226 -0.6516 -2.6584 -0.7249 -9.4584 1.9577" Properties=species:S:1:pos:R:3 pbc="T T T"
Mn -1.3974 -7.2992 0.1599
Tl -0.7205 -9.4003 1.9457
Tl -0.3669 -4.7872 0.9909
W -1.0349 -2.5700 -0.8189
```

***

## R
DFT (PBE) results for crystalline MnTl2W at its relaxed geometry.

Symmetry: P4mm (99)
Size of the total moment (μB per cell): 0.00

Structure (extended XYZ):
```
4
Lattice="-0.7985 -2.9405 -0.2382 2.6915 -0.8271 1.1885 -3.4652 0.2889 8.0483" Properties=species:S:1:pos:R:3 pbc="T T T"
Mn -1.4749 -1.6820 6.0990
Tl -3.2784 0.2733 7.6143
Tl -0.0718 -1.7989 2.8403
W -1.9450 0.1621 4.5174
```

***

## S
DFT (PBE) results for crystalline MnTl2W at its relaxed geometry.

Symmetry: Pmmm (47)
Size of the total moment (μB per cell): 3.22

Structure (extended XYZ):
```
4
Lattice="-1.7509 -1.1172 -2.2420 4.1547 0.2797 -3.3840 1.3167 -4.5525 1.2403" Properties=species:S:1:pos:R:3 pbc="T T T"
Mn 2.7357 -2.1364 -1.0719
Tl 0.0000 0.0000 0.0000
Tl 1.2019 -0.4187 -2.8130
W -0.2171 -2.8349 -0.5009
```

***

Most stable structure - R; separation to the second - 301 meV per atom.

***

## P
DFT (PBE) results for crystalline MnTl2W at its relaxed geometry.

Symmetry: Imm2 (44)
Size of the total moment (μB per cell): 2.68

Structure (extended XYZ):
```
4
Lattice="-4.5474 -4.2977 -0.2579 0.4836 -5.6108 -2.7388 1.7341 4.2374 4.2724" Properties=species:S:1:pos:R:3 pbc="T T T"
Mn -2.2527 -2.0931 1.3834
Tl -4.0122 -9.7827 -2.9586
Tl 0.0019 -3.3859 -0.0496
W -2.1623 -5.2723 -1.5945
```

***

## Q
DFT (PBE) results for crystalline MnTl2W at its relaxed geometry.

Symmetry: I4/mmm (139)
Size of the total moment (μB per cell): 4.13

Structure (extended XYZ):
```
4
Lattice="-3.7865 -3.5604 1.0873 -0.2811 -3.7867 -3.7119 4.0038 2.0414 2.8282" Properties=species:S:1:pos:R:3 pbc="T T T"
Mn -0.9083 -2.5963 1.3016
Tl 0.0000 0.0000 0.0000
Tl -2.0338 -3.6735 -1.3123
W 0.8444 -2.7094 -1.0980
```

***

## R
DFT (PBE) results for crystalline MnTl2W at its relaxed geometry.

Symmetry: Pm (6)
Size of the total moment (μB per cell): 0.13

Structure (extended XYZ):
```
4
Lattice="3.0698 0.0000 0.0000 0.0000 3.0502 -0.1015 0.0000 1.8029 8.5174" Properties=species:S:1:pos:R:3 pbc="T T T"
Mn 1.5349 3.8230 5.8975
Tl 0.0000 2.3650 8.0306
Tl 1.5349 0.6480 2.4881
W 0.0000 2.2465 4.7250
```

***

## S
DFT (PBE) results for crystalline MnTl2W at its relaxed geometry.

Symmetry: Pmmm (47)
Size of the total moment (μB per cell): 3.63

Structure (extended XYZ):
```
4
Lattice="-2.5931 0.0798 -1.4114 2.0320 -0.4887 -3.7611 -0.4736 -6.0381 0.5286" Properties=species:S:1:pos:R:3 pbc="T T T"
Mn -0.6358 -4.7330 -2.1897
Tl -0.4734 -6.0349 0.5283
Tl -0.2371 -3.0222 0.2646
W -0.3990 -1.7139 -2.4541
```

***

Most stable structure - R; separation to the second - 228 meV per atom.